# Nd2BiO4

An optimized crystal structure of Nd2BiO4 (PBE-GGA, OQMD).

Properties
As for the total magnetization: 1.00 μB per formula unit. The energy comes out at -100.2 eV per cell.

Structure (CIF):
```
data_Nd2BiO4
_chemical_formula_sum 'Nd4 Bi2 O8'
_cell_length_a 7.160
_cell_length_b 7.160
_cell_length_c 7.160
_cell_angle_alpha 119.99
_cell_angle_beta 90.02
_cell_angle_gamma 119.99
_symmetry_space_group_name_H-M 'P 1'
_symmetry_Int_Tables_number 1
_symmetry_space_group_name_Hall 'P 1'
loop_
_atom_site_label
_atom_site_type_symbol
_atom_site_fract_x
_atom_site_fract_y
_atom_site_fract_z
_atom_site_occupancy
O1 O 0.610 0.219 0.390 1
Nd1 Nd 0.875 0.250 0.625 1
O2 O 0.140 0.281 0.421 1
O3 O 0.579 0.719 0.860 1
Bi1 Bi 0.000 0.000 0.000 1
Bi2 Bi 0.750 0.500 0.250 1
Nd2 Nd 0.375 0.250 0.625 1
O4 O 0.140 0.281 0.860 1
Nd3 Nd 0.375 0.750 0.625 1
O5 O 0.610 0.781 0.390 1
O6 O 0.140 0.719 0.860 1
Nd4 Nd 0.375 0.750 0.125 1
O7 O 0.171 0.781 0.390 1
O8 O 0.610 0.219 0.829 1
```